a.
Mg3Ag4Hg | GGA-PBE | relaxed

total magnetic moment	0.000	μB/atom
DOS(E_F)	3.31	states/eV/cell

Cell and atoms, written as extended XYZ:
```
8
Lattice="-1.450 0.684 -2.593 1.011 -4.497 -1.752 -8.835 -4.673 5.499" Properties=species:S:1:pos:R:3 pbc="T T T"
Mg -6.483 -5.839 0.293
Mg 0.506 -2.249 -0.876
Mg -2.791 -2.647 0.862
Hg -0.725 0.342 -1.296
Ag -3.655 -5.406 0.618
Ag -8.062 -4.028 1.654
Ag -5.619 -3.081 0.537
Ag -1.211 -4.458 -0.499
```

***

b.
Mg3Ag4Hg | GGA-PBE | relaxed

total magnetic moment	0.000	μB/atom
DOS(E_F)	5.12	states/eV/cell

Cell and atoms, written as extended XYZ:
```
16
Lattice="-3.524 -0.292 3.069 -4.470 -0.506 -5.182 0.893 -9.316 0.138" Properties=species:S:1:pos:R:3 pbc="T T T"
Mg -1.090 -7.133 1.636
Mg -1.541 -2.475 1.571
Mg 0.000 0.000 0.000
Mg -3.776 -2.728 -1.020
Mg -3.325 -7.386 -0.955
Mg 0.447 -4.658 0.069
Ag -2.828 -0.267 0.298
Ag -6.256 -7.664 -0.776
Ag -0.845 -2.450 -1.199
Ag -2.382 -4.925 0.367
Ag -4.719 -5.189 -2.342
Ag -3.917 -7.400 1.934
Ag -5.166 -0.531 -2.412
Ag -3.184 -2.714 -3.909
Hg -1.789 -4.911 -2.522
Hg -2.235 -0.253 -2.591
```

***

The structure with the most favorable energy is b; the runner-up is 217 meV per atom above it.

***

a.
Mg3Ag3Hg2 | GGA-PBE | relaxed

total magnetic moment	0.000	μB/atom
DOS(E_F)	2.25	states/eV/cell

Cell and atoms, written as extended XYZ:
```
8
Lattice="-0.730 0.888 -4.374 -1.594 -4.187 -0.584 -7.039 2.447 1.671" Properties=species:S:1:pos:R:3 pbc="T T T"
Mg -0.365 0.444 -2.187
Mg -4.317 -0.870 0.543
Mg -3.884 1.667 -1.351
Hg -5.265 1.830 1.250
Hg -1.774 0.617 0.421
Ag -2.941 -1.031 -2.057
Ag -0.797 -2.093 -0.292
Ag -6.421 0.179 -1.230
```

***

b.
Mg3Ag3Hg2 | GGA-PBE | relaxed

total magnetic moment	0.000	μB/atom
DOS(E_F)	1.98	states/eV/cell

Cell and atoms, written as extended XYZ:
```
8
Lattice="4.684 0.000 0.000 0.000 4.904 -0.344 -2.342 -1.953 7.008" Properties=species:S:1:pos:R:3 pbc="T T T"
Ag 0.000 2.840 5.097
Ag 2.342 0.111 1.567
Ag 2.342 2.452 -0.172
Mg 2.342 0.371 5.076
Mg 0.000 2.579 1.588
Mg 0.000 0.000 0.000
Hg 2.342 2.706 3.292
Hg 0.000 0.245 3.372
```

***

The structure with the most favorable energy is a; the runner-up is 51 meV per atom above it.

***

a.
MgZnAgHg | GGA-PBE | relaxed

total magnetic moment	0.000	μB/atom
DOS(E_F)	2.03	states/eV/cell

Cell and atoms, written as extended XYZ:
```
4
Lattice="4.712 0.000 0.000 2.356 4.081 0.000 2.356 1.360 3.847" Properties=species:S:1:pos:R:3 pbc="T T T"
Zn 7.068 4.081 2.886
Ag 0.000 0.000 0.000
Hg 4.712 2.721 1.924
Mg 2.356 1.360 0.962
```

***

b.
MgZnAgHg | GGA-PBE | relaxed

total magnetic moment	0.000	μB/atom
DOS(E_F)	2.61	states/eV/cell

Cell and atoms, written as extended XYZ:
```
8
Lattice="-3.531 1.347 -1.893 1.124 -2.024 -3.537 -4.516 -7.678 2.960" Properties=species:S:1:pos:R:3 pbc="T T T"
Hg -6.093 -6.683 1.889
Hg 0.373 -1.333 -1.645
Zn -4.828 -4.533 1.060
Zn -0.892 -3.484 -0.816
Mg -2.983 -1.397 -0.149
Mg -2.736 -6.620 0.393
Ag -3.461 -4.178 -1.235
Ag -2.258 -3.839 1.480
```

***

The structure with the most favorable energy is a; the runner-up is 30 meV per atom above it.